1.
Entry from the Alexandria database: an optimized crystal structure of SrCu3Sb2 (PBE).

a b c (Å): 8.3528 8.3528 7.5908
angles (deg): 117.02 117.02 32.38
Fractional positions:
Sr 0.1360 0.1360 0.1354
Sr 0.8640 0.8640 0.8646
Cu 0.0012 0.0012 0.3433
Cu 0.3114 0.3114 0.5304
Cu 0.3116 0.3116 0.0931
Cu 0.6884 0.6884 0.9069
Cu 0.6886 0.6886 0.4696
Cu 0.9988 0.9988 0.6567
Sb 0.1814 0.1814 0.6816
Sb 0.4999 0.4999 0.1983
Sb 0.5001 0.5001 0.8017
Sb 0.8186 0.8186 0.3184

## Properties
* polymorph energy (0 for the lowest one): 0.1183 eV/atom
* DOS(E_F): 1.0 states/eV/f.u.
* space-group type: C2/m (12)
* ΔE_f (raw): -0.211 eV/atom
* V: 249.9 Å³ per cell


2.
Entry from the Alexandria database: an optimized crystal structure of Sr3Cu2Sb3 (PBE).

a b c (Å): 6.4885 6.4885 15.9727
angles (deg): 90.00 90.00 138.64
Fractional positions:
Sr 0.0762 0.9238 0.6034
Sr 0.0762 0.9238 0.8966
Sr 0.3489 0.6511 0.7500
Sr 0.6511 0.3489 0.2500
Sr 0.9238 0.0762 0.1034
Sr 0.9238 0.0762 0.3966
Cu 0.2329 0.7671 0.0995
Cu 0.2329 0.7671 0.4005
Cu 0.7671 0.2329 0.5995
Cu 0.7671 0.2329 0.9005
Sb 0.3519 0.6481 0.2500
Sb 0.3590 0.6410 0.5465
Sb 0.3590 0.6410 0.9535
Sb 0.6410 0.3590 0.0465
Sb 0.6410 0.3590 0.4535
Sb 0.6481 0.3519 0.7500

## Properties
* DOS(E_F): 2.9 states/eV/f.u.
* space-group type: Cmcm (63)
* ΔE_f (raw): -0.688 eV/atom
* V: 444.4 Å³ per cell


3.
Entry from the Alexandria database: an optimized crystal structure of Sr2Cu2Sb (PBE).

a b c (Å): 3.7035 3.7035 19.1325
angles (deg): 90.00 90.00 90.00
Fractional positions:
Sr 0.0000 0.0000 0.1150
Sr 0.0000 0.0000 0.8850
Sr 0.5000 0.5000 0.3850
Sr 0.5000 0.5000 0.6150
Cu 0.0000 0.5000 0.2500
Cu 0.0000 0.5000 0.7500
Cu 0.5000 0.0000 0.2500
Cu 0.5000 0.0000 0.7500
Sb 0.0000 0.0000 0.5000
Sb 0.5000 0.5000 0.0000

## Properties
* polymorph energy (0 for the lowest one): 0.1154 eV/atom
* DOS(E_F): 2.3 states/eV/f.u.
* space-group type: I4/mmm (139)
* ΔE_f (raw): -0.237 eV/atom
* V: 262.4 Å³ per cell


4.
Entry from the Alexandria database: an optimized crystal structure of SrCu6Sb4 (PBE).

a b c (Å): 6.7921 6.7921 6.7921
angles (deg): 119.80 119.80 90.35
Fractional positions:
Sr 0.0000 0.0000 0.0000
Cu 0.0000 0.5000 0.5000
Cu 0.2616 0.5727 0.0000
Cu 0.4273 0.4273 0.6889
Cu 0.5000 0.0000 0.5000
Cu 0.5727 0.2616 0.0000
Cu 0.7384 0.7384 0.3111
Sb 0.1066 0.1066 0.5807
Sb 0.4741 0.8934 0.0000
Sb 0.5259 0.5259 0.4193
Sb 0.8934 0.4741 0.0000

## Properties
* DOS(E_F): 3.5 states/eV/f.u.
* space-group type: I-42m (121)
* ΔE_f (raw): -0.046 eV/atom
* V: 222.2 Å³ per cell


5.
Entry from the Alexandria database: an optimized crystal structure of Sr2Cu2Sb (PBE).

a b c (Å): 6.0347 6.0347 7.6698
angles (deg): 90.00 90.00 90.00
Fractional positions:
Sr 0.0000 0.5000 0.2500
Sr 0.0000 0.5000 0.7500
Sr 0.5000 0.0000 0.2500
Sr 0.5000 0.0000 0.7500
Cu 0.0000 0.0000 0.1504
Cu 0.0000 0.0000 0.8496
Cu 0.5000 0.5000 0.3496
Cu 0.5000 0.5000 0.6504
Sb 0.0000 0.0000 0.5000
Sb 0.5000 0.5000 0.0000

## Properties
* polymorph energy (0 for the lowest one): 0.1194 eV/atom
* DOS(E_F): 5.3 states/eV/f.u.
* space-group type: I4/mmm (139)
* ΔE_f (raw): -0.233 eV/atom
* V: 279.3 Å³ per cell


6.
Entry from the Alexandria database: an optimized crystal structure of Sr3Cu2Sb4 (PBE).

a b c (Å): 6.6706 6.6706 9.4568
angles (deg): 103.36 103.36 40.40
Fractional positions:
Sr 0.0000 0.0000 0.0000
Sr 0.3496 0.3496 0.3357
Sr 0.6504 0.6504 0.6643
Cu 0.3822 0.3822 0.7148
Cu 0.6178 0.6178 0.2852
Sb 0.0756 0.0756 0.3719
Sb 0.2884 0.2884 0.9260
Sb 0.7116 0.7116 0.0740
Sb 0.9244 0.9244 0.6281

## Properties
* DOS(E_F): 1.2 states/eV/f.u.
* space-group type: C2/m (12)
* ΔE_f (raw): -0.621 eV/atom
* V: 264.3 Å³ per cell


7.
Entry from the Alexandria database: an optimized crystal structure of Sr2CuSb (PBE).

a b c (Å): 5.4140 5.4226 8.9754
angles (deg): 90.00 90.00 90.00
Fractional positions:
Sr 0.0000 0.0000 0.0000
Sr 0.0000 0.5000 0.4005
Sr 0.5000 0.0000 0.4005
Sr 0.5000 0.5000 0.0000
Cu 0.0000 0.0000 0.6291
Cu 0.5000 0.5000 0.6291
Sb 0.0000 0.5000 0.7561
Sb 0.5000 0.0000 0.7561

## Properties
* DOS(E_F): 3.6 states/eV/f.u.
* space-group type: Cmm2 (35)
* ΔE_f (raw): -0.150 eV/atom
* V: 263.5 Å³ per cell


8.
Entry from the Alexandria database: an optimized crystal structure of Sr2CuSb (PBE).

a b c (Å): 6.5672 6.5672 16.9722
angles (deg): 90.00 90.00 90.00
Fractional positions:
Sr 0.2431 0.2500 0.1250
Sr 0.2500 0.7431 0.3750
Sr 0.2500 0.7569 0.8750
Sr 0.2569 0.2500 0.6250
Sr 0.7431 0.7500 0.6250
Sr 0.7500 0.2431 0.8750
Sr 0.7500 0.2569 0.3750
Sr 0.7569 0.7500 0.1250
Cu 0.0000 0.0000 0.0000
Cu 0.0000 0.5000 0.2500
Cu 0.5000 0.0000 0.7500
Cu 0.5000 0.5000 0.5000
Sb 0.0000 0.0000 0.5000
Sb 0.0000 0.5000 0.7500
Sb 0.5000 0.0000 0.2500
Sb 0.5000 0.5000 0.0000

## Properties
* DOS(E_F): 0.0 states/eV/f.u.
* space-group type: I-42d (122)
* ΔE_f (raw): -0.089 eV/atom
* V: 732.0 Å³ per cell